Entry from Alexandria: Cr2F5 after structural relaxation (PBE with a Hubbard U).

Cell: 4.932 5.828 6.852 Å, 102.52 111.09 90.00°
Fractional positions:
Cr 0.116 0.711 0.714
Cr 0.598 0.211 0.714
Cr 0.884 0.289 0.286
Cr 0.402 0.789 0.286
F 0.461 0.526 0.785
F 0.676 0.974 0.215
F 0.324 0.026 0.785
F 0.539 0.474 0.215
F 0.286 0.133 0.410
F 0.124 0.633 0.410
F 0.714 0.867 0.590
F 0.876 0.367 0.590
F 0.096 0.750 0.000
F 0.904 0.250 0.000

Calculated values
As for the space-group type: C2/c (15). Its excess energy over the best structure of this formula in the dataset is 64 meV/atom. The value obtained for the magnetic moment is 14.000 Bohr magnetons per cell.